No. 1
## CsSI3 (PBE)

Data for a geometry-optimized CsSI3 structure.

Cell lengths 5.788, 5.788, 5.788 Å; angles 90.00, 90.00, 90.00 degrees
Space group Pm-3m (No. 221)
Symmetry-distinct sites (fractional):
Cs  0.000  0.000  0.000
S  0.500  0.500  0.500
I  0.000  0.500  0.500

Properties
* formation energy from raw total energies: -0.501 eV/atom
* DOS at the Fermi energy: 0.221 states/eV per atom
* energy relative to the lowest polymorph listed for this composition: 0 meV per atom



No. 2
## Cs6SI3 (PBE)

Data for a geometry-optimized Cs6SI3 structure.

Cell lengths 9.344, 10.111, 15.720 Å; angles 90.00, 121.50, 90.00 degrees
Space group P2_1/c (No. 14)
Symmetry-distinct sites (fractional):
Cs  0.086  0.054  0.235
Cs  0.243  0.719  0.079
Cs  0.348  0.176  0.059
S  0.000  0.000  0.000
I  0.315  0.095  0.769
I  0.500  0.000  0.500

Properties
* formation energy from raw total energies: -1.183 eV/atom
* DOS at the Fermi energy: 0.289 states/eV per atom



No. 3
## Cs2SI7 (PBE)

Data for a geometry-optimized Cs2SI7 structure.

Cell lengths 8.465, 8.465, 12.794 Å; angles 90.00, 90.00, 90.00 degrees
Space group I4/mmm (No. 139)
Symmetry-distinct sites (fractional):
Cs  0.000  0.500  0.250
S  0.000  0.000  0.000
I  0.000  0.000  0.216
I  0.000  0.000  0.500
I  0.240  0.240  0.000

Properties
* formation energy from raw total energies: -0.547 eV/atom
* DOS at the Fermi energy: 0.233 states/eV per atom



No. 4
## Cs4SI2 (PBE)

Data for a geometry-optimized Cs4SI2 structure.

Cell lengths 6.635, 6.635, 19.848 Å; angles 90.00, 90.00, 90.00 degrees
Space group I4/mmm (No. 139)
Symmetry-distinct sites (fractional):
Cs  0.000  0.000  0.165
Cs  0.000  0.500  0.000
S  0.000  0.000  0.000
I  0.000  0.000  0.362

Properties
* formation energy from raw total energies: -1.255 eV/atom
* energy relative to the lowest polymorph listed for this composition: 35 meV per atom



No. 5
## Cs5S2I2 (PBE)

Data for a geometry-optimized Cs5S2I2 structure.

Cell lengths 19.011, 9.520, 9.516 Å; angles 90.00, 90.00, 90.00 degrees
Space group Cmce (No. 64)
Symmetry-distinct sites (fractional):
Cs  0.000  0.000  0.000
Cs  0.121  0.160  0.341
S  0.000  0.123  0.624
I  0.204  0.000  0.000

Properties
* formation energy from raw total energies: -1.156 eV/atom



No. 6
## Cs12S3I5 (PBE)

Data for a geometry-optimized Cs12S3I5 structure.

Cell lengths 15.9910, 15.9910, 5.3456 Å; angles 90.00, 90.00, 120.00 degrees
Space group P-62m (No. 189)
Symmetry-distinct sites (fractional):
Cs  0.0000  0.5391  0.0000
Cs  0.0000  0.8113  0.0000
Cs  0.2033  0.4429  0.5000
S  0.0000  0.6678  0.5000
I  0.0000  0.2939  0.0000
I  0.3333  0.6667  0.0000

Properties
* formation energy from raw total energies: -1.211 eV/atom
* DOS at the Fermi energy: 0.129 states/eV per atom
* energy relative to the lowest polymorph listed for this composition: 0 meV per atom



No. 7
## CsSI3 (PBE)

Data for a geometry-optimized CsSI3 structure.

Cell lengths 7.473, 7.473, 7.473 Å; angles 90.00, 90.00, 90.00 degrees
Space group Pm-3m (No. 221)
Symmetry-distinct sites (fractional):
Cs  0.000  0.000  0.000
S  0.500  0.500  0.500
I  0.000  0.000  0.500

Properties
* formation energy from raw total energies: 0.456 eV/atom
* DOS at the Fermi energy: 4.910 states/eV per atom
* energy relative to the lowest polymorph listed for this composition: 957 meV per atom



No. 8
## Cs4SI2 (PBE)

Data for a geometry-optimized Cs4SI2 structure.

Cell lengths 17.264, 5.102, 10.471 Å; angles 90.00, 119.56, 90.00 degrees
Space group C2/m (No. 12)
Symmetry-distinct sites (fractional):
Cs  0.039  0.000  0.344
Cs  0.149  0.500  0.071
S  0.000  0.000  0.000
I  0.148  0.500  0.683

Properties
* formation energy from raw total energies: -1.290 eV/atom
* DOS at the Fermi energy: 0.000 states/eV per atom
* energy relative to the lowest polymorph listed for this composition: 0 meV per atom



No. 9
## Cs12S3I5 (PBE)

Data for a geometry-optimized Cs12S3I5 structure.

Cell lengths 21.600, 21.600, 21.600 Å; angles 90.00, 90.00, 90.00 degrees
Space group Ia-3d (No. 230)
Symmetry-distinct sites (fractional):
Cs  0.019  0.091  0.651
S  0.000  0.250  0.125
I  0.000  0.000  0.000
I  0.000  0.250  0.375

Properties
* formation energy from raw total energies: -1.075 eV/atom
* DOS at the Fermi energy: 0.113 states/eV per atom
* energy relative to the lowest polymorph listed for this composition: 136 meV per atom



No. 10
## CsS8I2 (PBE)

Data for a geometry-optimized CsS8I2 structure.

Cell lengths 11.657, 9.997, 8.883 Å; angles 90.00, 99.74, 90.00 degrees
Space group C2/m (No. 12)
Symmetry-distinct sites (fractional):
Cs  0.000  0.000  0.000
S  0.075  0.000  0.450
S  0.143  0.500  0.994
S  0.206  0.315  0.915
I  0.215  0.000  0.692

Properties
* formation energy from raw total energies: -0.019 eV/atom
* DOS at the Fermi energy: 0.172 states/eV per atom



No. 11
## Cs2SI (PBE)

Data for a geometry-optimized Cs2SI structure.

Cell lengths 5.4997, 5.4997, 24.6016 Å; angles 90.00, 90.00, 120.00 degrees
Space group R-3m (No. 166, hexagonal axes)
Symmetry-distinct sites (fractional):
Cs  0.0000  0.0000  0.2401
S  0.0000  0.0000  0.5000
I  0.0000  0.0000  0.0000

Properties
* formation energy from raw total energies: -0.952 eV/atom
* DOS at the Fermi energy: 0.795 states/eV per atom
* energy relative to the lowest polymorph listed for this composition: 0 meV per atom



No. 12
## CsS14I (PBE)

Data for a geometry-optimized CsS14I structure.

Cell lengths 7.620, 20.039, 13.403 Å; angles 90.00, 90.00, 90.00 degrees
Space group Imma (No. 74)
Symmetry-distinct sites (fractional):
Cs  0.250  0.250  0.250
S  0.000  0.137  0.076
S  0.000  0.161  0.438
S  0.000  0.203  0.891
S  0.170  0.068  0.805
S  0.220  0.101  0.431
I  0.000  0.250  0.629

Properties
* formation energy from raw total energies: 0.221 eV/atom
* DOS at the Fermi energy: 0.460 states/eV per atom